PBE-GGA MnGaAu, relaxed; symmetry = F-43m (216); energy of formation = 0.0069 eV per atom; density of states at the Fermi level = 0.99 states/eV per atom; E_tot = -15.45 eV per cell
1.0
4.3275 0.0000 0.0000
2.1638 3.7478 0.0000
2.1638 1.2493 3.5334
Au Ga Mn
1 1 1
direct
0.2500 0.2500 0.2500
0.0000 0.0000 0.0000
0.5000 0.5000 0.5000

***

PBE-GGA CuTc2Ni, relaxed; relative energy among the computed polymorphs = 5 meV/atom; symmetry = R3m (160); energy of formation = 0.1049 eV per atom; density of states at the Fermi level = 0.92 states/eV per atom; E_tot = -30.19 eV per cell
1.0
8.5431 -1.3454 -0.0017
8.5431 1.3454 -0.0017
8.3317 0.0000 2.3191
Cu Ni Tc
1 1 2
direct
0.4963 0.4963 0.4963
0.7514 0.7514 0.7514
0.2511 0.2511 0.2511
0.0011 0.0011 0.0011

***

PBE-GGA CaAg2BiF6, relaxed; symmetry = P2_1/c (14); uncorrected formation energy = -2.1328 eV/atom; density of states at the Fermi level = 0.16 states/eV per atom; E_tot = -88.28 eV per cell
1.0
-3.1701 1.5845 5.9110
3.6082 -2.9687 2.7309
4.5250 7.1585 1.8031
F Ag Bi Ca
12 4 2 2
direct
0.1776 0.1569 0.5396
0.3224 0.6569 0.9604
0.4010 0.1073 0.7682
0.7294 0.2935 0.6093
0.7706 0.7935 0.8907
0.9010 0.3927 0.2682
0.2294 0.2065 0.1093
0.8224 0.8431 0.4604
0.0990 0.6073 0.7318
0.2706 0.7065 0.3907
0.6776 0.3431 0.0396
0.5990 0.8927 0.2318
0.9612 0.9466 0.1899
0.0388 0.0534 0.8101
0.4612 0.5534 0.6899
0.5389 0.4466 0.3101
0.5000 0.0000 0.5000
0.0000 0.5000 0.0000
0.5000 0.0000 0.0000
0.0000 0.5000 0.5000

***

PBE-GGA Sr2BeCrSe, relaxed; symmetry = P4/mmm (123); uncorrected formation energy = -0.0057 eV/atom; density of states at the Fermi level = 0.50 states/eV per atom; E_tot = -20.23 eV per cell
1.0
-5.2675 1.2344 -1.8468
-1.5714 -3.4773 2.1579
-0.8572 3.2550 4.6208
Sr Cr Se Be
2 1 1 1
direct
0.0000 0.0000 0.5000
0.5000 0.0000 0.0000
0.0000 0.5000 0.0000
0.5000 0.5000 0.5000
0.0000 0.0000 0.0000

***

PBE-GGA RbCaMn3, relaxed; relative energy among the computed polymorphs = 333 meV/atom; symmetry = Pm-3m (221); energy of formation = 1.8222 eV per atom; density of states at the Fermi level = 0.40 states/eV per atom; E_tot = -21.37 eV per cell
1.0
5.3652 0.0000 0.0000
0.0000 5.3652 0.0000
0.0000 0.0000 5.3652
Ca Mn Rb
1 3 1
direct
0.5000 0.5000 0.5000
0.0000 0.5000 0.0000
0.0000 0.0000 0.5000
0.5000 0.0000 0.0000
0.0000 0.0000 0.0000

***

PBE-GGA ZnTcAsSe2, relaxed; relative energy among the computed polymorphs = 615 meV/atom; symmetry = P4/mmm (123); uncorrected formation energy = 1.0606 eV/atom; density of states at the Fermi level = 0.76 states/eV per atom; E_tot = -17.96 eV per cell
1.0
-3.3839 -3.3889 0.1713
1.0407 -1.2667 -4.5030
3.1129 -3.0289 1.5715
As Tc Zn Se
1 1 1 2
direct
0.0000 0.0000 0.5000
0.5000 0.5000 0.5000
0.0000 0.0000 0.0000
0.5000 0.0000 0.0000
0.0000 0.5000 0.0000